A plane-wave DFT calculation with PBE was carried out for crystalline PtN2Cl4 at its relaxed geometry.

## Properties
uncorrected formation energy = 1.03 eV/atom
space group = P4_2/mnm, No. 136
energy relative to the lowest polymorph listed for this composition = 0.457 eV/atom

POSCAR file:
```
PtN2Cl4
1.0
-3.826 -1.911 -2.427
-0.359 -3.562 3.371
-7.976 7.281 6.842
Cl Pt N
8 2 4
direct
0.760 0.760 0.128
0.240 0.240 0.128
0.240 0.240 0.872
0.760 0.760 0.872
0.740 0.260 0.372
0.260 0.740 0.372
0.260 0.740 0.628
0.740 0.260 0.628
0.500 0.500 0.500
0.000 0.000 0.000
0.288 0.712 0.000
0.788 0.788 0.500
0.212 0.212 0.500
0.712 0.288 0.000
```

A plane-wave DFT calculation with PBE was carried out for crystalline PtN2Cl2 at its relaxed geometry.

## Properties
uncorrected formation energy = 0.79 eV/atom
space group = P-1, No. 2
energy relative to the lowest polymorph listed for this composition = 0.865 eV/atom

POSCAR file:
```
PtN2Cl2
1.0
5.943 -2.111 1.612
-2.289 7.191 -0.103
1.087 -2.741 6.706
Pt Cl N
2 4 4
direct
0.000 0.000 0.500
0.000 0.000 0.000
0.329 0.501 0.421
0.471 0.165 0.860
0.529 0.835 0.140
0.671 0.499 0.579
0.994 0.994 0.751
0.006 0.006 0.249
0.793 0.658 0.420
0.207 0.342 0.580
```

A plane-wave DFT calculation with PBE was carried out for crystalline PtN2Cl2 at its relaxed geometry.

## Properties
uncorrected formation energy = 1.43 eV/atom
space group = Imm2, No. 44
energy relative to the lowest polymorph listed for this composition = 1.508 eV/atom

POSCAR file:
```
PtN2Cl2
1.0
5.220 0.000 0.000
0.000 10.064 0.000
0.000 0.000 8.384
Cl Pt N
8 4 8
direct
0.500 0.480 0.500
0.000 0.750 0.729
0.500 0.250 0.229
0.500 0.020 0.500
0.000 0.750 0.278
0.000 0.980 0.000
0.000 0.520 0.000
0.500 0.250 0.778
0.500 0.250 0.504
0.500 0.750 0.011
0.000 0.250 0.511
0.000 0.750 0.004
0.000 0.250 0.271
0.500 0.750 0.771
0.500 0.551 0.987
0.000 0.250 0.734
0.500 0.750 0.234
0.000 0.051 0.488
0.500 0.949 0.988
0.000 0.449 0.487
```

A plane-wave DFT calculation with PBE was carried out for crystalline Rb2PtNCl at its relaxed geometry.

## Properties
uncorrected formation energy = -0.77 eV/atom
space group = P4/mmm, No. 123

POSCAR file:
```
Rb2PtNCl
1.0
6.160 0.000 0.000
0.000 6.160 0.000
0.000 0.000 3.730
Pt Rb N Cl
1 2 1 1
direct
0.000 0.000 0.500
0.000 0.500 0.000
0.500 0.000 0.000
0.000 0.000 0.000
0.500 0.500 0.500
```

A plane-wave DFT calculation with PBE was carried out for crystalline RbPtN2Cl at its relaxed geometry.

## Properties
uncorrected formation energy = 0.54 eV/atom
space group = P4/mmm, No. 123

POSCAR file:
```
RbPtN2Cl
1.0
-2.723 -0.605 -2.770
-0.170 -7.548 1.817
-2.834 0.698 2.634
N Pt Rb Cl
2 1 1 1
direct
0.000 0.000 0.500
0.500 0.000 0.000
0.000 0.000 0.000
0.500 0.500 0.500
0.000 0.500 0.000
```

A plane-wave DFT calculation with PBE was carried out for crystalline PtRh2NCl at its relaxed geometry.

## Properties
uncorrected formation energy = 2.31 eV/atom
space group = P4/mmm, No. 123

POSCAR file:
```
PtRh2NCl
1.0
4.939 0.000 0.000
0.000 4.519 0.000
0.000 0.000 4.939
Cl N Pt Rh
1 1 1 2
direct
0.000 0.500 0.000
0.500 0.500 0.500
0.000 0.000 0.000
0.500 0.000 0.000
0.000 0.000 0.500
```

A plane-wave DFT calculation with PBE was carried out for crystalline PtS2NCl at its relaxed geometry.

## Properties
uncorrected formation energy = 1.71 eV/atom
space group = P4/mmm, No. 123
energy relative to the lowest polymorph listed for this composition = 0.725 eV/atom

POSCAR file:
```
PtS2NCl
1.0
4.649 0.000 0.000
0.000 4.649 0.000
0.000 0.000 4.822
Pt S N Cl
1 2 1 1
direct
0.000 0.000 0.000
0.500 0.000 0.000
0.000 0.500 0.000
0.500 0.500 0.500
0.000 0.000 0.500
```

A plane-wave DFT calculation with PBE was carried out for crystalline PtS2NCl at its relaxed geometry.

## Properties
uncorrected formation energy = 1.82 eV/atom
space group = P4/mmm, No. 123
energy relative to the lowest polymorph listed for this composition = 0.835 eV/atom

POSCAR file:
```
PtS2NCl
1.0
-4.390 1.778 -0.903
-0.450 -3.011 -3.740
-1.331 -2.275 1.992
N S Pt Cl
1 2 1 1
direct
0.000 0.000 0.500
0.500 0.000 0.000
0.000 0.500 0.000
0.500 0.500 0.500
0.000 0.000 0.000
```

A plane-wave DFT calculation with PBE was carried out for crystalline PtS2NCl at its relaxed geometry.

## Properties
uncorrected formation energy = 1.42 eV/atom
space group = P4/mmm, No. 123
energy relative to the lowest polymorph listed for this composition = 0.430 eV/atom

POSCAR file:
```
PtS2NCl
1.0
-0.845 3.800 -1.752
-4.133 -1.039 -0.260
-0.622 1.555 3.672
N S Pt Cl
1 2 1 1
direct
0.000 0.000 0.000
0.500 0.000 0.000
0.000 0.500 0.000
0.500 0.500 0.500
0.000 0.000 0.500
```

A plane-wave DFT calculation with PBE was carried out for crystalline PtS2NCl at its relaxed geometry.

## Properties
uncorrected formation energy = 0.99 eV/atom
space group = P4/mmm, No. 123
energy relative to the lowest polymorph listed for this composition = 0.000 eV/atom

POSCAR file:
```
PtS2NCl
1.0
-2.359 4.423 -0.526
-2.764 -1.921 -3.751
-2.549 -1.071 2.427
Pt S N Cl
1 2 1 1
direct
0.000 0.000 0.000
0.500 0.000 0.000
0.000 0.500 0.000
0.000 0.000 0.500
0.500 0.500 0.500
```

A plane-wave DFT calculation with PBE was carried out for crystalline ScPtN2Cl at its relaxed geometry.

## Properties
uncorrected formation energy = 0.37 eV/atom
space group = P4/mmm, No. 123

POSCAR file:
```
ScPtN2Cl
1.0
-0.938 -3.397 -1.420
4.883 -2.202 2.044
-1.756 -0.875 3.254
N Cl Pt Sc
2 1 1 1
direct
0.000 0.000 0.500
0.500 0.000 0.000
0.500 0.500 0.500
0.000 0.000 0.000
0.000 0.500 0.000
```

A plane-wave DFT calculation with PBE was carried out for crystalline SnPtN4Cl6 at its relaxed geometry.

## Properties
uncorrected formation energy = 0.70 eV/atom
space group = Cmce, No. 64

POSCAR file:
```
SnPtN4Cl6
1.0
4.861 -6.138 0.000
4.861 6.138 0.000
0.000 0.000 12.298
Cl Sn Pt N
12 2 2 8
direct
0.808 0.613 0.106
0.308 0.113 0.394
0.387 0.192 0.106
0.192 0.387 0.894
0.649 0.351 0.869
0.113 0.308 0.606
0.149 0.851 0.631
0.692 0.887 0.606
0.613 0.808 0.894
0.887 0.692 0.394
0.851 0.149 0.369
0.351 0.649 0.131
0.500 0.500 0.000
0.000 0.000 0.500
0.000 0.000 0.000
0.500 0.500 0.500
0.058 0.187 0.895
0.687 0.558 0.395
0.442 0.313 0.395
0.558 0.687 0.605
0.313 0.442 0.605
0.942 0.813 0.105
0.813 0.942 0.895
0.187 0.058 0.105
```

A plane-wave DFT calculation with PBE was carried out for crystalline TaPt2NCl at its relaxed geometry.

## Properties
uncorrected formation energy = 0.88 eV/atom
space group = P4/mmm, No. 123

POSCAR file:
```
TaPt2NCl
1.0
3.939 0.000 0.000
0.000 5.244 0.000
0.000 0.000 3.939
Pt Ta Cl N
2 1 1 1
direct
0.000 0.000 0.500
0.500 0.000 0.000
0.500 0.500 0.500
0.000 0.500 0.000
0.000 0.000 0.000
```

A plane-wave DFT calculation with PBE was carried out for crystalline Te2PtNCl at its relaxed geometry.

## Properties
uncorrected formation energy = 0.52 eV/atom
space group = P4/mmm, No. 123
energy relative to the lowest polymorph listed for this composition = 0.000 eV/atom

POSCAR file:
```
Te2PtNCl
1.0
5.716 0.000 0.000
0.000 5.716 0.000
0.000 0.000 3.648
Te N Cl Pt
2 1 1 1
direct
0.500 0.000 0.000
0.000 0.500 0.000
0.000 0.000 0.500
0.500 0.500 0.500
0.000 0.000 0.000
```

A plane-wave DFT calculation with PBE was carried out for crystalline Te2PtNCl at its relaxed geometry.

## Properties
uncorrected formation energy = 1.45 eV/atom
space group = P4/mmm, No. 123
energy relative to the lowest polymorph listed for this composition = 0.931 eV/atom

POSCAR file:
```
Te2PtNCl
1.0
-3.125 -0.970 -4.386
1.410 -5.285 0.164
-2.630 -0.639 2.016
Pt N Te Cl
1 1 2 1
direct
0.500 0.500 0.500
0.000 0.000 0.500
0.500 0.000 0.000
0.000 0.500 0.000
0.000 0.000 0.000
```

A plane-wave DFT calculation with PBE was carried out for crystalline Zn2PtNCl at its relaxed geometry.

## Properties
uncorrected formation energy = 0.29 eV/atom
space group = P4/mmm, No. 123

POSCAR file:
```
Zn2PtNCl
1.0
-1.370 1.661 4.108
-0.463 -3.621 1.310
4.396 -0.028 1.477
Zn Pt Cl N
2 1 1 1
direct
0.500 0.000 0.000
0.000 0.000 0.500
0.000 0.500 0.000
0.500 0.500 0.500
0.000 0.000 0.000
```

A plane-wave DFT calculation with PBE was carried out for crystalline Pu2NCl at its relaxed geometry.

## Properties
uncorrected formation energy = -1.26 eV/atom
space group = R3m, No. 160

POSCAR file:
```
Pu2NCl
1.0
-3.522 -0.075 0.268
-1.579 -2.591 1.810
-1.328 3.090 6.715
Cl N Pu
1 1 2
direct
0.499 0.499 0.502
0.667 0.667 0.999
0.064 0.064 0.809
0.270 0.270 0.190
```

A plane-wave DFT calculation with PBE was carried out for crystalline PuN2Cl4 at its relaxed geometry.

## Properties
uncorrected formation energy = 0.37 eV/atom
space group = C2/m, No. 12

POSCAR file:
```
PuN2Cl4
1.0
4.496 0.000 -0.752
-0.192 4.408 -1.149
-0.479 0.511 10.955
Cl N Pu
4 2 1
direct
0.426 0.925 0.852
0.574 0.075 0.148
0.074 0.574 0.148
0.926 0.426 0.852
0.703 0.703 0.406
0.297 0.297 0.594
0.000 0.000 0.000
```

A plane-wave DFT calculation with PBE was carried out for crystalline Pu3NCl5 at its relaxed geometry.

## Properties
uncorrected formation energy = -1.58 eV/atom
space group = C2/m, No. 12

POSCAR file:
```
Pu3NCl5
1.0
8.172 0.366 -0.442
2.590 7.760 -0.442
2.687 2.029 7.959
Cl Pu N
10 6 2
direct
0.431 0.431 0.377
0.219 0.219 0.938
0.697 0.303 0.000
0.623 0.001 0.641
0.303 0.697 0.000
0.377 0.999 0.359
0.569 0.569 0.623
0.999 0.377 0.359
0.001 0.623 0.641
0.781 0.781 0.062
0.660 0.660 0.853
0.230 0.230 0.611
0.000 0.000 0.000
0.770 0.770 0.389
0.340 0.340 0.147
0.000 0.000 0.500
0.939 0.939 0.292
0.061 0.061 0.708
```

A plane-wave DFT calculation with PBE was carried out for crystalline Pu3NCl3 at its relaxed geometry.

## Properties
uncorrected formation energy = -1.45 eV/atom
space group = P2_1/m, No. 11

POSCAR file:
```
Pu3NCl3
1.0
3.570 0.000 0.000
0.000 8.135 -0.355
0.000 0.076 10.830
Cl Pu N
6 6 2
direct
0.250 0.382 0.361
0.750 0.618 0.639
0.250 0.378 0.871
0.250 0.852 0.881
0.750 0.148 0.119
0.750 0.622 0.129
0.750 0.116 0.850
0.250 0.908 0.613
0.750 0.092 0.387
0.750 0.680 0.384
0.250 0.884 0.150
0.250 0.320 0.616
0.750 0.115 0.615
0.250 0.885 0.385
```

Number 1: mass density 3920 kg/m3. Number 2: mass density 3902 kg/m3. Number 3: mass density 4434 kg/m3. Number 4: mass density 4874 kg/m3. Number 5: mass density 4760 kg/m3. Number 6: mass density 6785 kg/m3. Number 7: mass density 4919 kg/m3. Number 8: mass density 6673 kg/m3. Number 9: mass density 6967 kg/m3. Number 10: mass density 5484 kg/m3. Number 11: mass density 6088 kg/m3. Number 12: mass density 2637 kg/m3. Number 13: mass density 12664 kg/m3. Number 14: mass density 6963 kg/m3. Number 15: mass density 8210 kg/m3. Number 16: mass density 7473 kg/m3. Number 17: mass density 11420 kg/m3. Number 18: mass density 3149 kg/m3. Number 19: mass density 6001 kg/m3. Number 20: mass density 8998 kg/m3.